Below is a relaxed Th8GeTe4Os3 crystal, with properties calculated at the PBE-GGA level.

Output
Formation energy without anion corrections = -0.8531 eV/atom
Energy = -0.56907 Ry per atom
Space-group type = R-3m, No. 166
N(E_F) = 10.44 states/eV/cell

abc: 9.058 9.058 9.058
angles: 56.09 56.09 56.09
Element x y z (fractional)
Th 0.219 0.742 0.742
Th 0.234 0.234 0.234
Th 0.258 0.258 0.781
Th 0.258 0.781 0.258
Th 0.742 0.219 0.742
Th 0.742 0.742 0.219
Th 0.766 0.766 0.766
Th 0.781 0.258 0.258
Ge 0.500 0.500 0.500
Te 0.000 0.000 0.000
Te 0.000 0.500 0.500
Te 0.500 0.000 0.500
Te 0.500 0.500 0.000
Os 0.000 0.000 0.500
Os 0.000 0.500 0.000
Os 0.500 0.000 0.000